Computed, not measured: a relaxed structure of K3CeTm2S6 at the PBE level of DFT.

Summary:
Formation energy without anion corrections   -22.17 eV per formula unit
Final energy   -5.43 eV/atom

Cell and atoms, written as extended XYZ:
```
12
Lattice="3.530 -6.115 0.000 3.530 6.115 0.000 -2.356 0.000 7.360" Properties=species:S:1:pos:R:3 pbc="T T T"
K 0.000 0.000 0.000
K 3.530 2.025 0.000
K 3.530 -2.025 0.000
Ce 2.352 0.000 3.680
Tm 2.352 4.075 3.680
Tm 2.352 -4.075 3.680
S 1.134 2.110 2.199
S -0.085 0.000 5.161
S 1.134 -2.110 2.199
S 3.570 2.110 5.161
S 4.789 0.000 2.199
S 3.570 -2.110 5.161
```